# 1
The following is a DFT calculation (PBE) of crystalline MgCr at its relaxed geometry.

- mass density (kg/m³) = 3656
- energy above the most stable polymorph in this dataset (eV/atom) = 0.3123
- energy of formation (kJ per mole of atoms) = 53.76

The structure in POSCAR format:
```
MgCr
1.0
1.957 1.130 5.227
-1.957 1.130 5.227
0.000 -2.259 5.227
Mg Cr
2 2
Cartesian
0.000 0.000 1.680
0.000 0.000 14.001
0.000 0.000 5.223
0.000 0.000 10.458
```



# 2
The following is a DFT calculation (PBE) of crystalline YHo3Er2Sb6 at its relaxed geometry.

- mass density (kg/m³) = 7748
- formation energy (no corrections) (eV per atom) = -1.12

The structure in POSCAR format:
```
YHo3Er2Sb6
1.0
9.517 -2.183 0.000
9.517 2.183 0.000
-1.995 0.000 8.504
Y Ho Er Sb
1 3 2 6
Cartesian
0.000 0.000 0.000
-0.998 0.000 4.252
6.018 0.000 1.420
11.021 0.000 7.084
5.011 0.000 5.669
12.028 0.000 2.835
3.014 0.000 0.716
2.014 0.000 4.954
9.023 0.000 2.138
8.016 0.000 6.366
15.025 0.000 3.550
14.024 0.000 7.788
```



# 3
The following is a DFT calculation (PBE) of crystalline ZnCu2Sb at its relaxed geometry.

- mass density (kg/m³) = 7340
- formation energy (no corrections) (eV per atom) = 0.18
- energy above the most stable polymorph in this dataset (eV/atom) = 0.0927

The structure in POSCAR format:
```
ZnCu2Sb
1.0
-2.041 2.041 8.532
2.041 -2.041 8.532
2.041 2.041 -8.532
Zn Cu Sb
2 4 2
Cartesian
0.000 0.000 0.000
0.000 2.041 4.266
3.062 0.905 -2.133
0.905 1.021 2.133
-1.021 1.136 6.399
1.136 1.021 10.664
2.041 0.000 4.266
0.000 0.000 8.532
```